Here is a relaxed Sn3Rh crystal from the Alexandria database. Energies are from PBE.

```
4
Lattice="3.451 0.000 0.000 0.000 3.308 0.000 0.000 0.000 8.308" Properties=species:S:1:pos:R:3 pbc="T T T"
Sn 1.726 1.654 1.191
Sn 0.000 1.654 3.821
Sn 1.726 0.000 6.152
Rh 0.000 0.000 8.222
```

Formation energy, eV per formula unit: -0.441
Fermi-level density of states, states/eV/f.u.: 2.54
Space-group type: No. 25
Magnetic moment, μB per atom: 0.00